! MnIn3O GGA+U optimized geometry; values from VASP
! D(E_F): 2.4 states/eV per cell
! polymorph energy (0 for the lowest one): 0.00 eV per formula unit
! E: -4.148 eV per atom
! magnetic moment: 4.62 μB/f.u.
&SYSTEM
  ibrav = 0, nat = 5, ntyp = 3
/
ATOMIC_SPECIES
Mn 54.94 Mn.upf
In 114.82 In.upf
O 16.00 O.upf
ATOMIC_POSITIONS crystal
Mn 0.0000 0.0000 0.0000
In 0.0000 0.5000 0.5000
In 0.5000 0.0000 0.5000
In 0.5000 0.5000 0.0000
O 0.5000 0.5000 0.5000
CELL_PARAMETERS angstrom
4.8297 0.0000 0.0000
0.0000 4.8297 0.0000
0.0000 0.0000 4.8297